(1)
Below is a relaxed structure of Pm3Sm2Tm6, with properties calculated at the PBE level.

Lattice parameters (Å, degrees): 4.7326 4.7326 16.8603 98.07 98.07 90.00
Positions (direct):
Pm: 0.0000 0.0000 0.0000
Pm: 0.2042 0.2042 0.4084
Sm: 0.5463 0.5463 0.0926
Tm: 0.6212 0.1212 0.2425
Tm: 0.6921 0.6921 0.3842
Tm: 0.3788 0.8788 0.7575
Sm: 0.4537 0.4537 0.9074
Tm: 0.1212 0.6212 0.2425
Tm: 0.8788 0.3788 0.7575
Tm: 0.3079 0.3079 0.6158
Pm: 0.7958 0.7958 0.5916

The formation enthalpy at 0 K is 0.2672 eV/atom. Its energy above the most stable polymorph in this dataset is 74 meV per atom. Its mass density is 7.85 Mg/m³.

=====

(2)
Below is a relaxed structure of KPuFe2I8, with properties calculated at the PBE level.

Lattice parameters (Å, degrees): 7.4976 7.4976 10.5527 87.58 87.58 69.20
Positions (direct):
Fe: 0.6256 0.6256 0.2256
I: 0.2455 0.7379 0.2206
I: 0.7545 0.2621 0.7794
I: 0.7457 0.7457 0.0142
I: 0.7118 0.7118 0.4391
I: 0.2543 0.2543 0.9858
Fe: 0.3744 0.3744 0.7744
I: 0.2882 0.2882 0.5609
Pu: 0.0000 0.0000 0.0000
I: 0.2621 0.7545 0.7794
K: 0.0000 0.0000 0.5000
I: 0.7379 0.2455 0.2206

The value obtained for the total energy is -4.3319 eV/atom. Its mass density is 4.23 Mg/m³.

=====

(3)
Below is a relaxed structure of KYBPt2, with properties calculated at the PBE level.

Lattice parameters (Å, degrees): 5.1552 6.4420 5.1552 90.00 90.00 90.00
Positions (direct):
Y: 0.0000 0.0000 0.0000
Pt: 0.5000 0.0000 0.0000
Pt: 0.0000 0.0000 0.5000
K: 0.0000 0.5000 0.0000
B: 0.5000 0.5000 0.5000

The formation enthalpy at 0 K is 1.4782 eV/atom. Its mass density is 5.13 Mg/m³.

=====

(4)
Below is a relaxed structure of AcMnN3, with properties calculated at the PBE level.

Lattice parameters (Å, degrees): 7.4374 7.4374 5.8604 99.01 99.01 93.50
Positions (direct):
Mn: 0.3690 0.1983 0.7385
N: 0.5850 0.1631 0.8294
N: 0.8369 0.4150 0.6706
N: 0.3525 0.3116 0.4816
N: 0.9997 0.7647 0.8260
Mn: 0.6310 0.8017 0.2615
N: 0.3116 0.3525 0.9816
Ac: 0.6535 0.3465 0.2500
Ac: 0.3465 0.6535 0.7500
N: 0.6475 0.6884 0.5184
N: 0.7647 0.9997 0.3260
N: 0.4150 0.8369 0.1706
Mn: 0.8017 0.6310 0.7615
Ac: 0.8969 0.1031 0.7500
N: 0.2353 0.0003 0.6740
N: 0.0003 0.2353 0.1740
Mn: 0.1983 0.3690 0.2385
N: 0.1631 0.5850 0.3294
N: 0.6884 0.6475 0.0184
Ac: 0.1031 0.8969 0.2500

The value obtained for the total energy is -8.2067 eV/atom. Its mass density is 6.83 Mg/m³.

=====

(5)
Below is a relaxed structure of CaTcGeH2, with properties calculated at the PBE level.

Lattice parameters (Å, degrees): 3.8940 5.5747 3.8940 90.00 90.00 90.00
Positions (direct):
Ge: 0.5000 0.5000 0.5000
H: 0.0000 0.0000 0.5000
Ca: 0.0000 0.5000 0.0000
H: 0.5000 0.0000 0.0000
Tc: 0.0000 0.0000 0.0000

The value obtained for the total energy is -3.9042 eV/atom. Its mass density is 4.18 Mg/m³.

=====

(6)
Below is a relaxed structure of Cr2AgCl, with properties calculated at the PBE level.

Lattice parameters (Å, degrees): 7.5153 4.8491 3.1643 90.56 64.30 129.30
Positions (direct):
Cl: 0.5000 0.5000 0.0000
Ag: 0.0000 0.5000 0.5000
Cr: 0.5000 0.0000 0.5000
Cr: 0.0000 0.0000 0.0000

Its energy above the most stable polymorph in this dataset is 380 meV per atom. Its mass density is 5.52 Mg/m³.

=====

(7)
Below is a relaxed structure of PrTm2C, with properties calculated at the PBE level.

Lattice parameters (Å, degrees): 3.4983 3.4983 9.9844 79.91 79.91 60.00
Positions (direct):
Tm: 0.1215 0.1215 0.6354
Pr: 0.0000 0.0000 0.0000
Tm: 0.8785 0.8785 0.3646
C: 0.5000 0.5000 0.5000

The formation enthalpy at 0 K is -0.1459 eV/atom. Its energy above the most stable polymorph in this dataset is 76 meV per atom. Its mass density is 7.86 Mg/m³.

=====

(8)
Below is a relaxed structure of K2YSe, with properties calculated at the PBE level.

Lattice parameters (Å, degrees): 4.0330 4.0880 11.1963 79.62 90.00 90.00
Positions (direct):
K: 0.0000 0.9540 0.9710
Se: 0.0000 0.6844 0.5050
K: 0.5000 0.2617 0.3493
Y: 0.5000 0.6000 0.6747

The value obtained for the total energy is -3.5826 eV/atom. Its mass density is 2.25 Mg/m³.

=====

(9)
Below is a relaxed structure of KAlAg, with properties calculated at the PBE level.

Lattice parameters (Å, degrees): 4.4518 4.4518 5.5274 90.00 90.00 120.00
Positions (direct):
K: 0.3333 0.6667 0.6666
Ag: 0.0000 0.0000 0.1670
Al: 0.6667 0.3333 0.1664

The formation enthalpy at 0 K is 0.1599 eV/atom. Its energy above the most stable polymorph in this dataset is 68 meV per atom. Its mass density is 3.04 Mg/m³.